Entry 1:
Sn2GeCl PBE-GGA relaxed; DOS at the Fermi energy = 2.94 states/eV/f.u.; SG = R-3m, No. 166; energy above the most stable polymorph in this dataset = 0 kJ/mol of formula units; density = 5.2 g/cm³
1.0
-0.632 -3.937 1.331
3.088 -2.837 -0.287
3.114 -0.420 6.874
Cl Sn Ge
1 2 1
direct
0.500 0.500 0.500
0.264 0.264 0.208
0.736 0.736 0.792
0.000 0.000 0.000

***

Entry 2:
AcPmCu3 PBE-GGA relaxed; DOS at the Fermi energy = 3.28 states/eV/f.u.; SG = Cmcm, No. 63; DFT formation energy = -18.61 kJ per mole of atoms; density = 8.1 g/cm³
1.0
4.433 0.000 0.000
0.000 4.007 0.000
0.000 -2.003 12.968
Cu Ac Pm
6 2 2
direct
0.250 0.675 0.349
0.250 0.476 0.951
0.750 0.325 0.651
0.750 0.524 0.049
0.250 0.378 0.756
0.750 0.622 0.244
0.750 0.927 0.854
0.250 0.073 0.146
0.250 0.795 0.589
0.750 0.205 0.411

***

Entry 3:
Pu3Ge5S12 PBE-GGA relaxed; DOS at the Fermi energy = 25.01 states/eV/f.u.; SG = Ia-3d, No. 230; density = 5.4 g/cm³
1.0
-12.789 2.494 2.692
1.344 -2.802 -12.937
4.113 -10.380 7.237
S Ge Pu
48 20 12
direct
0.034 0.629 0.717
0.966 0.371 0.283
0.871 0.283 0.466
0.089 0.183 0.217
0.589 0.717 0.683
0.405 0.371 0.589
0.783 0.317 0.911
0.683 0.466 0.595
0.411 0.129 0.595
0.317 0.783 0.411
0.717 0.589 0.183
0.817 0.905 0.034
0.683 0.217 0.589
0.629 0.595 0.911
0.595 0.966 0.683
0.534 0.217 0.129
0.095 0.183 0.466
0.183 0.089 0.717
0.283 0.411 0.817
0.905 0.817 0.534
0.371 0.405 0.089
0.783 0.466 0.371
0.217 0.534 0.629
0.589 0.871 0.405
0.371 0.966 0.783
0.911 0.817 0.783
0.411 0.283 0.317
0.283 0.871 0.966
0.466 0.783 0.871
0.905 0.089 0.871
0.217 0.683 0.089
0.911 0.095 0.629
0.129 0.717 0.534
0.089 0.905 0.371
0.595 0.629 0.411
0.034 0.405 0.817
0.183 0.095 0.966
0.717 0.129 0.034
0.405 0.034 0.317
0.534 0.317 0.905
0.095 0.911 0.129
0.817 0.911 0.283
0.966 0.595 0.183
0.317 0.534 0.405
0.871 0.589 0.905
0.466 0.683 0.095
0.629 0.034 0.217
0.129 0.411 0.095
0.125 0.375 0.250
0.500 0.000 0.500
0.500 0.500 0.000
0.250 0.875 0.125
0.000 0.500 0.000
0.250 0.375 0.625
0.375 0.250 0.125
0.125 0.750 0.375
0.875 0.250 0.625
0.750 0.125 0.875
0.375 0.125 0.750
0.500 0.500 0.500
0.500 0.000 0.000
0.875 0.625 0.750
0.750 0.625 0.375
0.625 0.875 0.250
0.625 0.750 0.875
0.000 0.000 0.500
0.000 0.500 0.500
0.000 0.000 0.000
0.125 0.250 0.875
0.750 0.375 0.125
0.250 0.625 0.875
0.875 0.125 0.250
0.625 0.375 0.750
0.375 0.625 0.250
0.250 0.125 0.375
0.625 0.250 0.375
0.875 0.750 0.125
0.750 0.875 0.625
0.125 0.875 0.750
0.375 0.750 0.625

***

Entry 4:
Cs5PSe4Cl2 PBE-GGA relaxed; DOS at the Fermi energy = 0.00 states/eV/f.u.; SG = Amm2, No. 38; density = 3.4 g/cm³
1.0
-1.400 -1.049 8.334
0.328 -5.343 -4.968
10.355 -0.880 1.629
Se Cs Cl P
4 5 2 1
direct
0.084 0.698 0.000
0.545 0.000 0.173
0.386 0.302 0.000
0.545 0.000 0.827
0.418 0.000 0.500
0.116 0.386 0.758
0.730 0.614 0.758
0.116 0.386 0.242
0.730 0.614 0.242
0.415 0.483 0.500
0.932 0.517 0.500
0.391 0.000 0.000

***

Entry 5:
SnBiSb3 PBE-GGA relaxed; DOS at the Fermi energy = 7.00 states/eV/f.u.; SG = Pm-3m, No. 221; energy above the most stable polymorph in this dataset = 0 kJ/mol of formula units; density = 6.5 g/cm³
1.0
5.614 0.000 0.000
0.000 5.614 0.000
0.000 0.000 5.614
Sb Bi Sn
3 1 1
direct
0.000 0.500 0.000
0.500 0.000 0.000
0.000 0.000 0.500
0.500 0.500 0.500
0.000 0.000 0.000

***

Entry 6:
YIr2Pt PBE-GGA relaxed; DOS at the Fermi energy = 8.64 states/eV/f.u.; SG = Fm-3m, No. 225; DFT formation energy = -10.18 kJ per mole of atoms; energy above the most stable polymorph in this dataset = 171 kJ/mol of formula units; density = 15.8 g/cm³
1.0
1.844 -3.922 1.633
-1.397 -4.087 -1.672
2.842 -2.507 -2.663
Ir Pt Y
2 1 1
direct
0.750 0.750 0.750
0.250 0.250 0.250
0.500 0.500 0.500
0.000 0.000 0.000

***

Entry 7:
La4NdSm6 PBE-GGA relaxed; DOS at the Fermi energy = 16.46 states/eV/f.u.; SG = I-42m, No. 121; DFT formation energy = 26.87 kJ per mole of atoms; energy above the most stable polymorph in this dataset = 0 kJ/mol of formula units; density = 6.6 g/cm³
1.0
-7.672 2.212 5.500
3.314 -7.578 -5.060
9.176 -2.882 1.228
La Sm Nd
4 6 1
direct
0.620 0.988 0.988
0.000 0.012 0.632
0.380 0.368 0.368
0.000 0.632 0.012
0.500 0.000 0.500
0.659 0.215 0.215
0.500 0.500 0.000
0.341 0.556 0.556
0.000 0.444 0.785
0.000 0.785 0.444
0.000 0.000 0.000

***

Entry 8:
AlSb2Ir PBE-GGA relaxed; DOS at the Fermi energy = 2.48 states/eV/f.u.; SG = R3m, No. 160; density = 8.8 g/cm³
1.0
-9.041 -2.177 3.247
-8.886 -4.185 0.729
-7.652 -5.068 3.574
Sb Ir Al
2 1 1
direct
0.979 0.979 0.979
0.767 0.767 0.767
0.242 0.242 0.242
0.512 0.512 0.512

***

Entry 9:
NaMoAsSe2 PBE-GGA relaxed; DOS at the Fermi energy = 3.50 states/eV/f.u.; SG = P4/mmm, No. 123; energy above the most stable polymorph in this dataset = 0 kJ/mol of formula units; density = 4.7 g/cm³
1.0
5.057 0.000 0.000
0.000 5.057 0.000
0.000 0.000 4.877
Se Mo Na As
2 1 1 1
direct
0.500 0.000 0.000
0.000 0.500 0.000
0.000 0.000 0.000
0.500 0.500 0.500
0.000 0.000 0.500

***

Entry 10:
Cs2TmTlBr6 PBE-GGA relaxed; DOS at the Fermi energy = 0.00 states/eV/f.u.; SG = P2_1/c, No. 14; density = 4.4 g/cm³
1.0
8.226 0.000 -0.021
0.000 8.566 0.000
0.041 0.000 11.858
Br Tl Cs Tm
12 2 4 2
direct
0.822 0.771 0.960
0.725 0.319 0.962
0.577 0.017 0.272
0.923 0.517 0.228
0.077 0.483 0.772
0.225 0.181 0.462
0.775 0.819 0.538
0.322 0.729 0.460
0.275 0.681 0.038
0.423 0.983 0.728
0.678 0.271 0.540
0.178 0.229 0.040
0.500 0.000 0.000
0.000 0.500 0.500
0.982 0.062 0.751
0.518 0.562 0.749
0.482 0.438 0.251
0.018 0.938 0.249
0.000 0.500 0.000
0.500 0.000 0.500

***

Entry 11:
TcBiRh PBE-GGA relaxed; DOS at the Fermi energy = 4.04 states/eV/f.u.; SG = R3m, No. 160; DFT formation energy = 43.68 kJ per mole of atoms; energy above the most stable polymorph in this dataset = 22 kJ/mol of formula units; density = 11.1 g/cm³
1.0
-3.498 -2.019 1.844
3.415 1.279 2.533
-4.730 9.596 1.531
Tc Rh Bi
3 3 3
direct
0.333 0.667 0.274
0.000 0.000 0.608
0.667 0.333 0.941
0.000 0.000 0.858
0.667 0.333 0.191
0.333 0.667 0.524
0.667 0.333 0.690
0.333 0.667 0.023
0.000 0.000 0.356

***

Entry 12:
Ba4Pd2Pt PBE-GGA relaxed; DOS at the Fermi energy = 4.36 states/eV/f.u.; SG = I-42d, No. 122; DFT formation energy = -52.34 kJ per mole of atoms; energy above the most stable polymorph in this dataset = 0 kJ/mol of formula units; density = 6.6 g/cm³
1.0
-3.125 -2.447 7.572
7.534 -3.811 -1.335
1.048 8.483 -0.046
Pd Pt Ba
4 2 8
direct
0.498 0.125 0.873
0.252 0.625 0.127
0.875 0.748 0.373
0.375 0.502 0.627
0.000 0.000 0.000
0.750 0.250 0.500
0.999 0.371 0.250
0.252 0.001 0.373
0.629 0.879 0.127
0.751 0.501 0.873
0.498 0.371 0.250
0.121 0.749 0.750
0.629 0.879 0.627
0.121 0.249 0.750

***

Number 1: M_tot 0.00 μB per atom, uncorrected energy -15.2 eV per cell. Number 2: M_tot 0.00 μB per atom, uncorrected energy -44.2 eV per cell. Number 3: M_tot 0.77 μB per atom, uncorrected energy -522.5 eV per cell. Number 4: M_tot 0.00 μB per atom, uncorrected energy -41.9 eV per cell. Number 5: M_tot 0.00 μB per atom, uncorrected energy -16.6 eV per cell. Number 6: M_tot 0.00 μB per atom, uncorrected energy -30.6 eV per cell. Number 7: M_tot 0.00 μB per atom, uncorrected energy -49.7 eV per cell. Number 8: M_tot 0.00 μB per atom, uncorrected energy -20.9 eV per cell. Number 9: M_tot 0.00 μB per atom, uncorrected energy -24.3 eV per cell. Number 10: M_tot 0.00 μB per atom, uncorrected energy -70.9 eV per cell. Number 11: M_tot 0.00 μB per atom, uncorrected energy -60.7 eV per cell. Number 12: M_tot 0.00 μB per atom, uncorrected energy -55.8 eV per cell.